# 1
Material: La2ThP3Rh12
Method: DFT, GGA-PBE
State: relaxed

Cell lengths 6.827, 6.827, 6.827 Å; angles 81.84, 81.84, 81.84 degrees
Fractional positions:
P  0.500  0.000  0.000
Rh  0.652  0.178  0.178
Th  0.000  0.000  0.000
Rh  0.351  0.351  0.916
La  0.616  0.616  0.616
Rh  0.178  0.652  0.178
P  0.000  0.500  0.000
Rh  0.348  0.822  0.822
Rh  0.822  0.348  0.822
La  0.384  0.384  0.384
Rh  0.084  0.649  0.649
Rh  0.351  0.916  0.351
Rh  0.649  0.649  0.084
Rh  0.178  0.178  0.652
Rh  0.649  0.084  0.649
Rh  0.822  0.822  0.348
Rh  0.916  0.351  0.351
P  0.000  0.000  0.500

Results
DOS(E_F) in states/eV per cell: 16.71
Energy of formation from the pure elements in eV/atom: -0.414


# 2
Material: Sn5BiSb4
Method: DFT, GGA-PBE
State: relaxed

Cell lengths 6.804, 8.539, 12.210 Å; angles 90.00, 90.00, 90.00 degrees
Fractional positions:
Sn  0.708  0.815  0.735
Sb  0.595  0.249  0.500
Sb  0.899  0.500  0.787
Sn  0.708  0.185  0.735
Sn  0.708  0.815  0.265
Bi  0.293  0.500  0.500
Sb  0.595  0.751  0.500
Sn  0.292  0.685  0.765
Sn  0.695  0.500  0.000
Sn  0.305  0.000  0.500
Sb  0.101  0.000  0.713
Sb  0.405  0.749  0.000
Sb  0.101  0.000  0.287
Sn  0.292  0.315  0.235
Sn  0.292  0.685  0.235
Bi  0.707  0.000  0.000
Sb  0.899  0.500  0.213
Sn  0.708  0.185  0.265
Sb  0.405  0.251  0.000
Sn  0.292  0.315  0.765

Results
DOS(E_F) in states/eV per cell: 7.50
Energy above the most stable polymorph in this dataset in meV per atom: 80.8
E_form (uncorrected) in eV/atom: 0.111


# 3
Material: AlInOs2
Method: DFT, GGA-PBE
State: relaxed

Cell lengths 4.440, 4.440, 4.440 Å; angles 60.00, 60.00, 60.00 degrees
Fractional positions:
Os  0.250  0.250  0.250
Os  0.750  0.750  0.750
In  0.500  0.500  0.500
Al  0.000  0.000  0.000

Results
DOS(E_F) in states/eV per cell: 3.81
Energy of formation from the pure elements in eV/atom: 0.203
Energy above the most stable polymorph in this dataset in meV per atom: 97.7


# 4
Material: Ca3Ga9Ru2
Method: DFT, GGA-PBE
State: relaxed

Cell lengths 4.253, 8.250, 8.250 Å; angles 71.67, 75.06, 75.06 degrees
Fractional positions:
Ga  0.346  0.295  0.013
Ga  0.654  0.987  0.705
Ca  0.000  0.000  0.000
Ca  0.298  0.702  0.702
Ru  0.500  0.324  0.676
Ca  0.702  0.298  0.298
Ga  0.000  0.500  0.500
Ga  0.129  0.585  0.157
Ru  0.500  0.676  0.324
Ga  0.346  0.013  0.295
Ga  0.871  0.843  0.415
Ga  0.871  0.415  0.843
Ga  0.129  0.157  0.585
Ga  0.654  0.705  0.987

Results
DOS(E_F) in states/eV per cell: 7.15
Energy of formation from the pure elements in eV/atom: -0.421


# 5
Material: Ho3Hf2Zn3
Method: DFT, GGA-PBE
State: relaxed

Cell lengths 3.414, 5.013, 10.829 Å; angles 103.38, 99.07, 90.00 degrees
Fractional positions:
Ho  0.500  0.000  0.000
Zn  0.880  0.880  0.761
Zn  0.120  0.120  0.239
Ho  0.626  0.626  0.252
Hf  0.267  0.767  0.535
Hf  0.733  0.233  0.465
Zn  0.000  0.500  0.000
Ho  0.374  0.374  0.748

Results
DOS(E_F) in states/eV per cell: 6.15
Energy of formation from the pure elements in eV/atom: -0.216


# 6
Material: Ga2CuAu
Method: DFT, GGA-PBE
State: relaxed

Cell lengths 4.529, 4.529, 4.529 Å; angles 60.00, 60.00, 60.00 degrees
Fractional positions:
Ga  0.250  0.250  0.250
Cu  0.000  0.000  0.000
Au  0.500  0.500  0.500
Ga  0.750  0.750  0.750

Results
DOS(E_F) in states/eV per cell: 1.75
Energy of formation from the pure elements in eV/atom: 0.001
Energy above the most stable polymorph in this dataset in meV per atom: 97.8


# 7
Material: La2TaSi2
Method: DFT, GGA-PBE
State: relaxed

Cell lengths 7.146, 7.146, 4.586 Å; angles 90.00, 90.00, 90.00 degrees
Fractional positions:
La  0.822  0.322  0.500
La  0.178  0.678  0.500
Si  0.872  0.628  0.000
Ta  0.000  0.000  0.000
La  0.678  0.822  0.500
Si  0.128  0.372  0.000
La  0.322  0.178  0.500
Si  0.372  0.872  0.000
Ta  0.500  0.500  0.000
Si  0.628  0.128  0.000

Results
DOS(E_F) in states/eV per cell: 13.00
E_form (uncorrected) in eV/atom: -0.366


# 8
Material: CsKNa2As
Method: DFT, GGA-PBE
State: relaxed

Cell lengths 5.912, 5.912, 6.569 Å; angles 90.00, 90.00, 90.00 degrees
Fractional positions:
As  0.000  0.000  0.000
Na  0.000  0.500  0.000
Na  0.500  0.000  0.000
Cs  0.500  0.500  0.500
K  0.000  0.000  0.500

Results
DOS(E_F) in states/eV per cell: 2.75
Energy of formation from the pure elements in eV/atom: -0.194
Energy above the most stable polymorph in this dataset in meV per atom: 0.0


# 9
Material: YZnCd
Method: DFT, GGA-PBE
State: relaxed

Cell lengths 4.106, 7.468, 13.157 Å; angles 90.00, 90.00, 90.00 degrees
Fractional positions:
Zn  0.500  0.948  0.908
Cd  0.500  0.429  0.382
Zn  0.500  0.948  0.592
Cd  0.500  0.429  0.118
Y  0.000  0.758  0.457
Cd  0.500  0.196  0.750
Y  0.000  0.242  0.543
Y  0.000  0.854  0.750
Zn  0.000  0.443  0.750
Y  0.000  0.146  0.250
Y  0.000  0.758  0.043
Cd  0.500  0.804  0.250
Zn  0.000  0.557  0.250
Cd  0.500  0.571  0.882
Y  0.000  0.242  0.957
Zn  0.500  0.052  0.408
Zn  0.500  0.052  0.092
Cd  0.500  0.571  0.618

Results
DOS(E_F) in states/eV per cell: 13.48
Energy of formation from the pure elements in eV/atom: -0.362


# 10
Material: Dy6TlSe2S3
Method: DFT, GGA-PBE
State: relaxed

Cell lengths 3.953, 8.277, 9.080 Å; angles 103.45, 102.57, 90.00 degrees
Fractional positions:
Dy  0.661  0.595  0.322
S  0.168  0.830  0.335
Tl  0.500  0.000  0.000
Dy  0.997  0.271  0.995
Dy  0.003  0.729  0.005
Dy  0.672  0.072  0.345
S  0.832  0.170  0.665
Dy  0.328  0.928  0.655
S  0.500  0.500  0.000
Dy  0.339  0.405  0.678
Se  0.170  0.338  0.339
Se  0.830  0.662  0.661

Results
DOS(E_F) in states/eV per cell: 5.78
E_form (uncorrected) in eV/atom: -1.609


# 11
Material: Ag7PbAu2
Method: DFT, GGA-PBE
State: relaxed

Cell lengths 4.746, 7.860, 7.860 Å; angles 122.12, 90.00, 90.00 degrees
Fractional positions:
Ag  0.500  0.708  0.926
Ag  0.000  0.205  0.795
Ag  0.500  0.926  0.708
Ag  0.500  0.500  0.500
Ag  0.500  0.074  0.292
Ag  0.000  0.795  0.205
Au  0.500  0.702  0.298
Pb  0.000  0.000  0.000
Ag  0.500  0.292  0.074
Au  0.500  0.298  0.702

Results
DOS(E_F) in states/eV per cell: 2.42
Energy of formation from the pure elements in eV/atom: 0.288


# 12
Material: Bi2O3
Method: DFT, GGA-PBE
State: relaxed

Cell lengths 3.725, 4.032, 7.277 Å; angles 105.65, 90.07, 117.18 degrees
Fractional positions:
O  0.681  0.297  0.843
Bi  0.567  0.072  0.508
O  0.898  0.731  0.527
O  0.465  0.864  0.161
Bi  0.996  0.932  0.987

Results
E_form (uncorrected) in eV/atom: -1.119